#A
The following is a DFT calculation (PBE) of an optimized crystal structure of K2ZrF. Values from VASP.

The structure in Quantum ESPRESSO input format:
```
&SYSTEM
  ibrav = 0, nat = 8, ntyp = 3
/
ATOMIC_SPECIES
K 39.10 K.upf
F 19.00 F.upf
Zr 91.22 Zr.upf
CELL_PARAMETERS angstrom
7.7772 0.0000 0.0000
0.0000 7.7772 0.0000
3.8886 3.8886 4.9440
ATOMIC_POSITIONS angstrom
K 9.7215 8.5906 3.7080
K 3.0752 5.8329 1.2360
F 3.8886 7.7772 2.4720
K 5.8329 6.9638 3.7080
F 3.8886 3.8886 0.0000
Zr 7.7772 3.8886 2.4720
Zr 0.0000 0.0000 0.0000
K 4.7020 1.9443 1.2360
```

Calculated values
**Fermi-level density of states**: 7.20 states/eV/cell
**ρ**: 2.09 g cm⁻³

=====

#B
The following is a DFT calculation (PBE) of an optimized crystal structure of K2ZrF. Values from VASP.

The structure in Quantum ESPRESSO input format:
```
&SYSTEM
  ibrav = 0, nat = 4, ntyp = 3
/
ATOMIC_SPECIES
F 19.00 F.upf
K 39.10 K.upf
Zr 91.22 Zr.upf
CELL_PARAMETERS angstrom
-1.6601 -5.1660 2.7699
1.0914 -0.7550 5.9459
-4.6195 0.0218 3.9718
ATOMIC_POSITIONS angstrom
F 0.0000 0.0000 0.0000
K -3.8911 -4.4243 9.5157
Zr -2.5941 -2.9496 6.3438
K -1.2970 -1.4748 3.1719
```

Calculated values
**Fermi-level density of states**: 0.00 states/eV/cell
**ρ**: 1.96 g cm⁻³

=====

Stability, lowest: #B

=====

#A
The following is a DFT calculation (PBE) of an optimized crystal structure of LiLaF2. Values from VASP.

The structure in Quantum ESPRESSO input format:
```
&SYSTEM
  ibrav = 0, nat = 4, ntyp = 3
/
ATOMIC_SPECIES
F 19.00 F.upf
La 138.91 La.upf
Li 6.94 Li.upf
CELL_PARAMETERS angstrom
0.0000 3.1896 3.1896
3.1896 0.0000 3.1896
3.1896 3.1896 0.0000
ATOMIC_POSITIONS angstrom
F 4.7845 4.7845 4.7845
F 1.5948 1.5948 1.5948
La 3.1896 3.1896 3.1896
Li 0.0000 0.0000 0.0000
```

Calculated values
**Fermi-level density of states**: 0.83 states/eV/cell
**ρ**: 4.70 g cm⁻³

=====

#B
The following is a DFT calculation (PBE) of an optimized crystal structure of LiLaF2. Values from VASP.

The structure in Quantum ESPRESSO input format:
```
&SYSTEM
  ibrav = 0, nat = 4, ntyp = 3
/
ATOMIC_SPECIES
Li 6.94 Li.upf
La 138.91 La.upf
F 19.00 F.upf
CELL_PARAMETERS angstrom
-2.1041 -0.7776 6.5934
1.4495 -1.0424 6.7318
-0.0961 2.1694 6.6173
ATOMIC_POSITIONS angstrom
Li -0.3754 0.1747 9.9712
La 0.0000 0.0000 0.0000
F -0.0870 0.0405 2.3101
F -0.6637 0.3090 17.6324
```

Calculated values
**Fermi-level density of states**: 0.99 states/eV/cell
**ρ**: 4.17 g cm⁻³

=====

Stability, lowest: #A

=====

#A
The following is a DFT calculation (PBE) of an optimized crystal structure of LiLaF2. Values from VASP.

The structure in Quantum ESPRESSO input format:
```
&SYSTEM
  ibrav = 0, nat = 4, ntyp = 3
/
ATOMIC_SPECIES
La 138.91 La.upf
F 19.00 F.upf
Li 6.94 Li.upf
CELL_PARAMETERS angstrom
2.4137 -3.9406 5.7717
1.2037 -6.3415 3.6061
4.3756 -5.0543 3.1584
ATOMIC_POSITIONS angstrom
La 3.9965 -7.6682 6.2681
F 7.3186 -14.0424 11.4784
Li 0.0000 0.0000 0.0000
F 0.6745 -1.2941 1.0578
```

Calculated values
**Fermi-level density of states**: 2.52 states/eV/cell
**ρ**: 4.15 g cm⁻³

=====

#B
The following is a DFT calculation (PBE) of an optimized crystal structure of LiLaF2. Values from VASP.

The structure in Quantum ESPRESSO input format:
```
&SYSTEM
  ibrav = 0, nat = 8, ntyp = 3
/
ATOMIC_SPECIES
F 19.00 F.upf
Li 6.94 Li.upf
La 138.91 La.upf
CELL_PARAMETERS angstrom
4.9635 0.0000 0.0000
0.0000 4.9635 0.0000
2.4817 2.4817 5.4779
ATOMIC_POSITIONS angstrom
F 1.8334 3.7226 1.3695
F 6.2044 5.6119 4.1084
F 3.1301 1.2409 1.3695
Li 2.4817 2.4817 0.0000
La 4.9635 2.4817 2.7390
Li 2.4817 4.9635 2.7390
F 3.7226 4.3151 4.1084
La 0.0000 0.0000 0.0000
```

Calculated values
**Fermi-level density of states**: 1.86 states/eV/cell
**ρ**: 4.52 g cm⁻³

=====

Stability, lowest: #B